(1)
VASP calculation (PBE-GGA) on an optimized crystal structure of Tb4Pr4Tm3.

Results
Fermi-level density of states   18.45 states/eV/cell
Final energy   -4.577 eV per atom
Size of the total moment   0.00 μB per atom

Cell: 3.543 5.698 18.170 Å, 80.99 84.41 90.00°
Space group P-1 (No. 2)
Unique sites:
Tb 0.045 0.045 0.409 x2
Tb 0.180 0.680 0.139 x2
Pr 0.090 0.590 0.319 x2
Pr 0.231 0.231 0.038 x2
Tm 0.365 0.865 0.770 x2
Tm 0.500 0.500 0.500 x1

***

(2)
VASP calculation (PBE-GGA) on an optimized crystal structure of Tb2Pr7Tm3.

Results
Fermi-level density of states   17.03 states/eV/cell
Final energy   -4.608 eV per atom
Size of the total moment   0.00 μB per atom

Cell: 6.505 3.576 17.635 Å, 90.00 95.78 90.00°
Space group P2/m (No. 10)
Unique sites:
Tb 0.060 0.000 0.170 x2
Pr 0.000 0.500 0.500 x1
Pr 0.227 0.000 0.673 x2
Pr 0.258 0.000 0.993 x2
Pr 0.278 0.500 0.334 x2
Tm 0.458 0.500 0.841 x2
Tm 0.500 0.000 0.500 x1

***

(3)
VASP calculation (PBE-GGA) on an optimized crystal structure of Tb2Pr2Tm.

Results
Fermi-level density of states   29.63 states/eV/cell
Final energy   -4.377 eV per atom
Size of the total moment   0.00 μB per atom

Cell: 6.913 16.245 6.285 Å, 90.00 90.00 90.00°
Space group Cmcm (No. 63)
Unique sites:
Tb 0.239 0.169 0.250 x8
Pr 0.000 0.170 0.750 x4
Pr 0.000 0.402 0.250 x4
Tm 0.000 0.000 0.000 x4

***

(4)
VASP calculation (PBE-GGA) on an optimized crystal structure of Tb6Pr12Tm.

Results
Fermi-level density of states   92.40 states/eV/cell
Final energy   -4.485 eV per atom
Size of the total moment   0.00 μB per atom

Cell: 14.9588 14.9588 10.5374 Å, 90.00 90.00 120.00°
Space group R-3 (No. 148, hexagonal axes)
Unique sites:
Tb 0.0484 0.8427 0.2591 x18
Pr 0.0486 0.7962 0.5757 x18
Pr 0.0661 0.8357 0.9219 x18
Tm 0.0000 0.0000 0.5000 x3

***

(5)
VASP calculation (PBE-GGA) on an optimized crystal structure of TbPrTm5.

Results
Fermi-level density of states   34.95 states/eV/cell
Final energy   -4.334 eV per atom
Size of the total moment   0.00 μB per atom

Cell: 11.521 6.822 11.980 Å, 90.00 109.06 90.00°
Space group C2/c (No. 15)
Unique sites:
Tb 0.250 0.250 0.000 x4
Pr 0.000 0.025 0.250 x4
Tm 0.000 0.408 0.750 x4
Tm 0.080 0.283 0.498 x8
Tm 0.221 0.361 0.252 x8

***

(6)
VASP calculation (PBE-GGA) on an optimized crystal structure of Tb4Pr3Tm5.

Results
Fermi-level density of states   15.52 states/eV/cell
Final energy   -4.580 eV per atom
Size of the total moment   0.00 μB per atom

Cell: 6.175 7.134 8.740 Å, 89.89 89.82 89.84°
Space group P-1 (No. 2)
Unique sites:
Tb 0.167 0.000 0.331 x2
Tb 0.330 0.751 0.667 x2
Pr 0.333 0.249 0.666 x2
Pr 0.500 0.500 0.000 x1
Tm 0.001 0.751 0.000 x2
Tm 0.164 0.500 0.331 x2
Tm 0.500 0.000 0.000 x1

***

(7)
VASP calculation (PBE-GGA) on an optimized crystal structure of Tb2Pr3Tm6.

Results
Fermi-level density of states   34.45 states/eV/cell
Final energy   -4.378 eV per atom
Size of the total moment   0.00 μB per atom

Cell: 6.154 10.680 11.527 Å, 90.00 100.36 90.00°
Space group C2/m (No. 12)
Unique sites:
Tb 0.000 0.166 0.000 x4
Pr 0.000 0.000 0.500 x2
Pr 0.000 0.336 0.500 x4
Tm 0.248 0.334 0.245 x8
Tm 0.249 0.000 0.246 x4

***

(8)
VASP calculation (PBE-GGA) on an optimized crystal structure of Tb5Pr4Tm.

Results
Fermi-level density of states   26.37 states/eV/cell
Final energy   -4.447 eV per atom
Size of the total moment   0.00 μB per atom

Cell: 10.681 10.681 6.057 Å, 90.00 90.00 90.00°
Space group I4mm (No. 107)
Unique sites:
Tb 0.000 0.000 0.000 x2
Tb 0.188 0.188 0.733 x8
Pr 0.000 0.323 0.254 x8
Tm 0.000 0.000 0.475 x2